Density functional theory data (PBE with a Hubbard U) for a geometry-optimized ZrMnAs2O structure.

Output
Total DFT energy (no corrections) (eV per atom): -5.351
Volume (Å³ per atom): 18.586

a = 4.2744 Å, b = 4.2744 Å, c = 5.0864 Å
α = 90.00°, β = 90.00°, γ = 90.00°
Space group P4/mmm (No. 123)
One atom of each set of equivalent atoms:
Zr: 0.0000 0.0000 0.0000
Mn: 0.0000 0.0000 0.5000
As: 0.0000 0.5000 0.5000
O: 0.5000 0.5000 0.0000